[1]
! SrLa4Se5 GGA-PBE relaxed; values from VASP
&SYSTEM
  ibrav = 0, nat = 10, ntyp = 3
/
ATOMIC_SPECIES
Sr 87.62 Sr.upf
La 138.91 La.upf
Se 78.96 Se.upf
CELL_PARAMETERS angstrom
4.2867 0.0000 -0.6041
-0.0851 4.2859 -0.6041
0.0224 0.0229 15.6697
ATOMIC_POSITIONS angstrom
Sr 0.0000 0.0000 0.0000
La 1.6900 1.7239 11.9920
La 3.3722 3.4398 8.4174
Se 1.2721 1.2976 9.0261
La 2.5339 2.5848 2.4694
Se 2.9519 3.0111 5.4353
Se 2.1008 2.1429 -0.6041
La 0.8518 0.8689 6.0440
Se 0.4256 0.4341 3.0198
Se 3.7984 3.8746 11.4416
! Uncorrected formation energy (meV/atom): -1999
! E_tot (eV/atom): -5.881
! Theoretical density (Mg/m³): 5.98



[2]
! MgV2TeC GGA-PBE relaxed; values from VASP
&SYSTEM
  ibrav = 0, nat = 5, ntyp = 4
/
ATOMIC_SPECIES
Te 127.60 Te.upf
C 12.01 C.upf
V 50.94 V.upf
Mg 24.30 Mg.upf
CELL_PARAMETERS angstrom
-4.0891 2.8016 1.0021
0.8750 -0.5911 5.2225
2.8572 4.1726 -0.0064
ATOMIC_POSITIONS angstrom
Te 0.0000 0.0000 0.0000
C -0.1785 3.1915 3.1091
V -2.0446 1.4008 0.5011
V 1.4286 2.0863 -0.0032
Mg 0.4375 -0.2955 2.6112
! Uncorrected formation energy (meV/atom): 2091
! E_tot (eV/atom): -4.349
! Theoretical density (Mg/m³): 3.24



[3]
! AcLu2Rh GGA-PBE relaxed; values from VASP
&SYSTEM
  ibrav = 0, nat = 4, ntyp = 3
/
ATOMIC_SPECIES
Rh 102.91 Rh.upf
Ac 227.00 Ac.upf
Lu 174.97 Lu.upf
CELL_PARAMETERS angstrom
3.5095 0.0000 0.0000
0.0000 3.5095 0.0000
0.0000 0.0000 8.9110
ATOMIC_POSITIONS angstrom
Rh 1.7547 1.7547 0.0000
Ac 1.7547 1.7547 4.4555
Lu 0.0000 0.0000 7.3424
Lu 0.0000 0.0000 1.5686
! E_tot (eV/atom): -5.559
! Formation energy (meV per atom): -434
! Theoretical density (Mg/m³): 10.29